Material: Tm3Zn2Rh
Method: DFT, GGA-PBE
State: optimized geometry

a b c (Å): 4.8888 4.8888 6.0275
angles (deg): 90.00 90.00 120.00
With the nearest neighbours (Å) after each atom.
Space group P-3m1 (No. 164)
Inequivalent atoms, fractional coordinates:
Tm 0.0000 0.0000 0.0000 [1 per cell]  6 Zn 2.97, 2 Rh 3.01
Tm 0.3333 0.6667 0.6562 [2 per cell]  3 Rh 2.98, 5 Zn 2.99-3.05
Zn 0.3333 0.6667 0.1515 [2 per cell]  8 Tm 2.97-3.05
Rh 0.0000 0.0000 0.5000 [1 per cell]  8 Tm 2.98-3.01

Calculated values
**V**: 20.79 A^3/atom
**ΔH_f (0 K)**: -0.57 eV/atom
**N(E_F)**: 2.76 states/eV/f.u.

Material: Tb7Pm12Tl
Method: DFT, GGA-PBE
State: optimized geometry

a b c (Å): 11.7207 11.7207 17.4490
angles (deg): 90.00 90.00 120.00
With the nearest neighbours (Å) after each atom.
Space group R-3m (No. 166, hexagonal axes)
Inequivalent atoms, fractional coordinates:
Tb 0.0000 0.0000 0.0000 [3 per cell]  6 Pm 3.04
Tb 0.1055 0.2111 0.2548 [18 per cell]  7 Pm 3.57-3.74, 3 Tb 3.70-3.71
Pm 0.0673 0.5336 0.2509 [18 per cell]  1 Tl 3.07, 1 Pm 3.36
Pm 0.0774 0.5387 0.5758 [18 per cell]  1 Tb 3.04, 2 Pm 3.08-3.36
Tl 0.0000 0.0000 0.5000 [3 per cell]  6 Pm 3.07

Calculated values
**V**: 34.60 A^3/atom
**ΔH_f (0 K)**: 0.16 eV/atom
**N(E_F)**: 27.85 states/eV/f.u.

Material: CsBSeN2
Method: DFT, GGA-PBE
State: optimized geometry

a b c (Å): 4.0516 4.0516 6.6163
angles (deg): 90.00 90.00 90.00
With the nearest neighbours (Å) after each atom.
Space group P4/mmm (No. 123)
Inequivalent atoms, fractional coordinates:
Cs 0.0000 0.0000 0.0000 [1 per cell]  4 B 2.86
B 0.5000 0.5000 0.0000 [1 per cell]  4 Cs 2.86
Se 0.0000 0.0000 0.5000 [1 per cell]  4 N 2.03
N 0.0000 0.5000 0.5000 [2 per cell]  2 Se 2.03

Calculated values
**V**: 21.72 A^3/atom
**Raw formation energy**: 2.3194 eV per atom
**N(E_F)**: 2.97 states/eV/f.u.
**Energy relative to the lowest polymorph listed for this composition**: 0.000 eV per atom

Material: Sn2Rh2Cl
Method: DFT, GGA-PBE
State: optimized geometry

a b c (Å): 7.7571 7.7571 3.1290
angles (deg): 90.00 90.00 90.00
With the nearest neighbours (Å) after each atom.
Space group P4/mbm (No. 127)
Inequivalent atoms, fractional coordinates:
Sn 0.1574 0.3426 0.0000 [4 per cell]  6 Rh 2.75-2.77
Rh 0.1363 0.6363 0.5000 [4 per cell]  6 Sn 2.75-2.77, 1 Rh 2.99, 2 Cl 3.01
Cl 0.0000 0.0000 0.5000 [2 per cell]  4 Rh 3.01, 2 Cl 3.13, 8 Sn 3.32

Calculated values
**V**: 18.83 A^3/atom
**Raw formation energy**: -0.3054 eV per atom
**N(E_F)**: 2.36 states/eV/f.u.
**Energy relative to the lowest polymorph listed for this composition**: 0.000 eV per atom